1.
AgBrCl | GGA-PBE | optimized geometry

total moment	0.89	μB/f.u.
energy relative to the elements, uncorrected	0.8	eV/f.u.
space-group type	F-43m, No. 216
polymorph energy (0 for the lowest one)	549	meV per atom
V	83.2	Å³/f.u.

```
3
Lattice="4.901 0.000 0.000 2.450 4.244 0.000 2.450 1.415 4.001" Properties=species:S:1:pos:R:3 pbc="T T T"
Br 7.351 4.244 3.001
Ag 4.901 2.829 2.001
Cl 0.000 0.000 0.000
```

=====

2.
Cs2TeBr6 | GGA-PBE | optimized geometry

total moment	0.00	μB/f.u.
energy relative to the elements, uncorrected	-9.8	eV/f.u.
space-group type	I4/m, No. 87
V	361.1	Å³/f.u.

```
9
Lattice="-0.987 -7.747 -1.703 6.408 -1.790 4.429 -6.017 4.189 3.186" Properties=species:S:1:pos:R:3 pbc="T T T"
Cs 1.551 -1.185 4.489
Cs -2.146 -4.163 1.423
Te 0.000 0.000 0.000
Br 4.623 -3.250 2.946
Br 1.007 -5.067 3.707
Br 4.095 -7.233 2.055
Br 1.327 -2.303 0.671
Br -1.603 -0.281 2.205
Br 0.798 -6.287 -0.220
```

=====

3.
NdSmSiHg | GGA-PBE | optimized geometry

total moment	0.00	μB/f.u.
energy relative to the elements, uncorrected	-1.9	eV/f.u.
space-group type	F-43m, No. 216
V	102.3	Å³/f.u.

```
4
Lattice="-4.150 -2.309 -2.239 0.184 -1.396 -5.058 0.214 -5.078 -1.315" Properties=species:S:1:pos:R:3 pbc="T T T"
Si -2.813 -6.588 -6.459
Nd 0.000 0.000 0.000
Hg -0.938 -2.196 -2.153
Sm -1.876 -4.392 -4.306
```